Record 1
DFT (PBE) results for a geometry-optimized CaAgBi structure.

Structure (extended XYZ):
```
6
Lattice="-1.527 2.795 -3.814 3.233 -6.981 -3.357 -2.835 -3.722 1.508" Properties=species:S:1:pos:R:3 pbc="T T T"
Ca -0.528 -3.544 -4.059
Ca 0.062 -9.811 -2.441
Ag -2.041 -1.565 -1.846
Ag -1.657 -4.809 -1.297
Bi -1.195 0.072 -4.233
Bi -0.233 -6.678 -3.250
```

Summary:
SG: P-1, No. 2
Total energy, eV/atom: -3.408
Calculated formation energy, kcal/mol of atoms: -11.4
Crystal system: triclinic

=====

Record 2
DFT (PBE) results for a geometry-optimized CaAgBi structure.

Structure (extended XYZ):
```
12
Lattice="-1.318 -1.265 4.319 8.782 -3.488 1.658 0.580 9.049 0.281" Properties=species:S:1:pos:R:3 pbc="T T T"
Ag 1.646 3.575 4.095
Ag 0.635 3.783 1.302
Ag 7.409 0.513 4.957
Ag 6.398 0.720 2.163
Bi 3.919 4.659 2.560
Bi 7.949 3.032 3.313
Bi 0.095 1.263 2.945
Bi 4.125 -0.364 3.698
Ca 3.081 1.768 1.458
Ca 2.069 7.140 2.723
Ca 5.975 -2.845 3.536
Ca 4.963 2.527 4.801
```

Summary:
SG: C2/m, No. 12
Total energy, eV/atom: -3.253
Calculated formation energy, kcal/mol of atoms: -7.9
Crystal system: monoclinic

=====

Record 3
DFT (PBE) results for a geometry-optimized Ca2Ag2Bi structure.

Structure (extended XYZ):
```
5
Lattice="3.976 0.000 0.000 0.000 3.976 0.000 1.988 1.988 8.774" Properties=species:S:1:pos:R:3 pbc="T T T"
Bi 0.000 0.000 0.000
Ca 1.988 1.988 1.854
Ca 3.976 3.976 6.921
Ag 3.976 1.988 4.387
Ag 1.988 3.976 4.387
```

Summary:
SG: I4/mmm, No. 139
Total energy, eV/atom: -3.084
E above lowest polymorph, meV/atom: 58.7
Calculated formation energy, kcal/mol of atoms: -8.5
Crystal system: tetragonal

=====

Record 4
DFT (PBE) results for a geometry-optimized CaAg3Bi structure.

Structure (extended XYZ):
```
5
Lattice="5.417 0.000 0.000 0.000 5.417 0.000 0.000 0.000 5.417" Properties=species:S:1:pos:R:3 pbc="T T T"
Bi 0.000 0.000 0.000
Ag 2.708 0.000 0.000
Ag 0.000 0.000 2.708
Ag 0.000 2.708 0.000
Ca 2.708 2.708 2.708
```

Summary:
SG: Pm-3m, No. 221
Total energy, eV/atom: -2.589
E above lowest polymorph, meV/atom: 0.0
Calculated formation energy, kcal/mol of atoms: 6.9
Crystal system: cubic

=====

Record 5
DFT (PBE) results for a geometry-optimized CaAgBi structure.

Structure (extended XYZ):
```
6
Lattice="-1.928 4.390 -1.354 -0.120 -3.854 -3.156 -11.068 -3.436 4.618" Properties=species:S:1:pos:R:3 pbc="T T T"
Ag -9.626 -0.935 1.509
Ag -3.490 -1.965 -1.401
Ca -2.767 -0.859 1.154
Ca -8.301 -2.577 3.463
Bi -5.534 -1.718 2.309
Bi 0.000 0.000 0.000
```

Summary:
SG: P6_3/mmc, No. 194
Total energy, eV/atom: -2.312
Calculated formation energy, kcal/mol of atoms: 13.8
Crystal system: hexagonal

=====

Record 6
DFT (PBE) results for a geometry-optimized Ca5Ag2Bi5 structure.

Structure (extended XYZ):
```
12
Lattice="4.530 0.000 1.281 1.915 8.327 1.877 -0.237 -0.449 9.490" Properties=species:S:1:pos:R:3 pbc="T T T"
Ca 2.154 2.141 9.685
Ca 3.104 3.939 6.324
Ca 4.751 7.565 9.152
Ca 1.458 0.313 3.496
Ca 4.055 5.738 2.963
Bi 3.994 2.512 3.178
Bi 0.000 0.000 0.000
Bi 0.612 1.639 6.486
Bi 5.596 6.239 6.162
Bi 2.215 5.366 9.469
Ag 4.831 4.336 8.868
Ag 1.377 3.543 3.780
```

Summary:
SG: C2/m, No. 12
Total energy, eV/atom: -3.548
Calculated formation energy, kcal/mol of atoms: -14.3
Crystal system: monoclinic

=====

Record 7
DFT (PBE) results for a geometry-optimized Ca2Ag2Bi structure.

Structure (extended XYZ):
```
10
Lattice="-4.268 -1.070 6.986 -5.672 -4.349 -4.132 1.985 -3.266 0.713" Properties=species:S:1:pos:R:3 pbc="T T T"
Ca -1.389 -2.745 1.894
Ca -3.592 -4.761 -1.208
Ca -6.567 -5.940 1.673
Ca -4.363 -3.924 4.774
Ag -2.669 -1.785 -0.745
Ag -7.271 -3.634 3.599
Ag -3.315 -1.179 3.832
Ag -6.625 -4.240 -0.978
Bi -4.970 -2.709 1.427
Bi 0.000 0.000 0.000
```

Summary:
SG: P4/mbm, No. 127
Total energy, eV/atom: -3.143
E above lowest polymorph, meV/atom: 0.0
Calculated formation energy, kcal/mol of atoms: -9.8
Crystal system: tetragonal

=====

Record 8
DFT (PBE) results for a geometry-optimized Ca2Ag2Bi structure.

Structure (extended XYZ):
```
5
Lattice="-0.034 3.486 4.646 -0.734 -4.612 3.454 3.951 -0.990 4.402" Properties=species:S:1:pos:R:3 pbc="T T T"
Bi 0.000 0.000 0.000
Ag 2.269 -1.425 8.347
Ag 0.915 -0.691 4.156
Ca 1.417 -3.082 5.953
Ca 1.767 0.967 6.549
```

Summary:
SG: I4/mmm, No. 139
Total energy, eV/atom: -2.982
E above lowest polymorph, meV/atom: 160.9
Calculated formation energy, kcal/mol of atoms: -6.1
Crystal system: tetragonal

=====

- Which of these has the lowest total energy?
  Ca5Ag2Bi5